No. 1
DFT (PBE-GGA) results for crystalline Pm3TmSc6 at its relaxed geometry.

Output
As for the formation energy: 0.40 eV per atom.

Lattice parameters (Å, degrees): 9.3230 9.3230 11.2744 90.00 90.00 120.00
Space group R3 (No. 146, hexagonal axes)
Inequivalent atoms, fractional coordinates:
Pm: 0.0000 0.0000 0.0000 (multiplicity 3)
Pm: 0.0000 0.0000 0.2500 (multiplicity 3)
Pm: 0.0000 0.0000 0.5001 (multiplicity 3)
Tm: 0.0000 0.0000 0.7500 (multiplicity 3)
Sc: 0.0032 0.3403 0.1668 (multiplicity 9)
Sc: 0.0069 0.6703 0.6676 (multiplicity 9)



No. 2
DFT (PBE-GGA) results for crystalline Pm3TmSc2 at its relaxed geometry.

Output
As for the formation energy: 0.17 eV per atom.

Lattice parameters (Å, degrees): 16.2469 6.7877 6.8675 90.00 102.19 90.00
Space group C2/c (No. 15)
Inequivalent atoms, fractional coordinates:
Pm: 0.0000 0.2386 0.2500 (multiplicity 4)
Pm: 0.1796 0.0113 0.5930 (multiplicity 8)
Tm: 0.0000 0.2358 0.7500 (multiplicity 4)
Sc: 0.1365 0.4920 0.0648 (multiplicity 8)



no.,distance to the lowest polymorph of the same formula (meV per atom)
1,269
2,0